Entry 1:
4
Lattice="1.551 0.895 9.456 -1.551 0.895 9.456 0.000 -1.791 9.456" Properties=species:S:1:pos:R:3 comment="TcHg2As (GGA-PBE, relaxed)" space_group="No. 166" magmom_total_mub_per_fu=1.3 formation_enthalpy_0k_ev_per_atom=0.625 pbc="T T T"
Tc 0.000 0.000 0.000
Hg 0.000 0.000 7.197
Hg 0.000 0.000 21.171
As 0.000 0.000 14.184



Entry 2:
3
Lattice="3.149 -1.817 0.000 3.149 1.817 0.000 -0.025 0.000 6.437" Properties=species:S:1:pos:R:3 comment="Nd2N (GGA-PBE, relaxed)" space_group="No. 12" magmom_total_mub_per_fu=0.0 raw_formation_energy_ev_per_atom=-0.85 pbc="T T T"
Nd 1.049 0.000 1.383
Nd 5.223 0.000 5.054
N 3.149 0.000 0.000



Entry 3:
20
Lattice="7.088 0.000 0.000 0.000 7.858 0.000 -6.786 0.000 10.396" Properties=species:S:1:pos:R:3 comment="Ac2CeMgSe6 (GGA-PBE, relaxed)" space_group="No. 14" magmom_total_mub_per_fu=0.0 raw_formation_energy_ev_per_atom=-1.75 pbc="T T T"
Ac -0.190 0.765 2.561
Ac -3.583 3.164 7.759
Ac 3.885 4.694 2.637
Ac 0.492 7.093 7.835
Ce 3.544 0.000 0.000
Ce 0.151 3.929 5.198
Mg -3.393 0.000 5.198
Mg 0.000 3.929 0.000
Se -5.566 1.491 9.788
Se -2.173 2.438 4.590
Se -4.551 5.379 9.775
Se -1.158 6.407 4.577
Se -2.454 0.259 7.708
Se 0.939 3.670 2.510
Se -0.637 4.188 7.885
Se 2.756 7.599 2.687
Se 1.461 1.450 5.818
Se 4.854 2.478 0.621
Se 2.475 5.420 5.805
Se 5.868 6.367 0.607



Entry 4:
8
Lattice="7.164 0.000 0.000 0.000 4.072 0.000 -2.306 0.000 6.798" Properties=species:S:1:pos:R:3 comment="KPm2NdS4 (GGA-PBE, relaxed)" space_group="No. 10" magmom_total_mub_per_fu=0.0 raw_formation_energy_ev_per_atom=-1.90 pbc="T T T"
K 0.000 0.000 0.000
Pm -1.153 2.036 3.399
Pm 2.429 0.000 3.399
Nd 3.582 2.036 0.000
S 0.108 0.000 5.043
S 1.286 2.036 1.821
S 3.572 2.036 4.977
S 4.750 0.000 1.755



Entry 5:
5
Lattice="4.456 0.000 0.000 0.000 4.456 0.000 0.000 0.000 4.544" Properties=species:S:1:pos:R:3 comment="MgCrRe2Rh (GGA-PBE, relaxed)" space_group="No. 123" magmom_total_mub_per_fu=0.0 formation_enthalpy_0k_ev_per_atom=1.171 pbc="T T T"
Mg 0.000 0.000 0.000
Cr 2.228 2.228 2.272
Re 0.000 2.228 2.272
Re 2.228 0.000 2.272
Rh 2.228 2.228 0.000



Entry 6:
5
Lattice="3.762 0.000 0.000 0.000 3.762 0.000 0.000 0.000 5.366" Properties=species:S:1:pos:R:3 comment="MgRuRhO2 (GGA-PBE, relaxed)" space_group="No. 123" magmom_total_mub_per_fu=4.8 raw_formation_energy_ev_per_atom=0.44 pbc="T T T"
Mg 0.000 0.000 0.000
Ru 0.000 0.000 2.683
Rh 1.881 1.881 2.683
O 0.000 1.881 0.000
O 1.881 0.000 0.000



Entry 7:
4
Lattice="-2.275 2.275 4.546 2.275 -2.275 4.546 2.275 2.275 -4.546" Properties=species:S:1:pos:R:3 comment="YCrIn2 (GGA-PBE, relaxed)" space_group="No. 119" magmom_total_mub_per_fu=4.2 formation_enthalpy_0k_ev_per_atom=0.040 pbc="T T T"
Y 0.000 0.000 0.000
Cr 0.000 2.275 2.273
In 2.275 0.000 2.273
In 0.000 0.000 4.546



Entry 8:
4
Lattice="1.627 0.939 11.669 -1.627 0.939 11.669 0.000 -1.878 11.669" Properties=species:S:1:pos:R:3 comment="Er2HfSc (GGA-PBE, relaxed)" space_group="No. 166" magmom_total_mub_per_fu=0.0 formation_enthalpy_0k_ev_per_atom=0.326 polymorph_energy_mev_per_atom=234 pbc="T T T"
Er 0.000 0.000 3.129
Er 0.000 0.000 31.878
Hf 0.000 0.000 0.000
Sc 0.000 0.000 17.503



Entry 9:
17
Lattice="-4.327 4.327 4.327 4.327 -4.327 4.327 4.327 4.327 -4.327" Properties=species:S:1:pos:R:3 comment="Pu4Ga12Pt (GGA-PBE, relaxed)" space_group="No. 229" magmom_total_mub_per_fu=21.0 formation_enthalpy_0k_ev_per_atom=-0.470 pbc="T T T"
Pu 2.163 2.163 -2.163
Pu 2.163 -2.163 2.163
Pu -2.163 2.163 2.163
Pu 2.163 2.163 2.163
Ga 2.557 0.000 0.000
Ga 6.097 0.000 0.000
Ga 4.327 2.163 0.000
Ga 4.327 0.000 2.163
Ga 0.000 2.557 0.000
Ga 0.000 0.000 2.557
Ga 2.163 4.327 0.000
Ga 2.163 0.000 4.327
Ga 0.000 6.097 0.000
Ga 0.000 0.000 6.097
Ga 0.000 4.327 2.163
Ga 0.000 2.163 4.327
Pt 0.000 0.000 0.000



Entry 10:
5
Lattice="4.579 0.000 0.000 0.000 4.579 0.000 0.000 0.000 4.579" Properties=species:S:1:pos:R:3 comment="GaTc3Sn (GGA-PBE, relaxed)" space_group="No. 221" magmom_total_mub_per_fu=3.4 formation_enthalpy_0k_ev_per_atom=1.176 polymorph_energy_mev_per_atom=0 pbc="T T T"
Ga 0.000 0.000 0.000
Tc 0.000 0.000 2.289
Tc 0.000 2.289 0.000
Tc 2.289 0.000 0.000
Sn 2.289 2.289 2.289



Entry 11:
4
Lattice="1.909 1.102 5.116 -1.909 1.102 5.116 0.000 -2.204 5.116" Properties=species:S:1:pos:R:3 comment="PaCuO2 (GGA-PBE, relaxed)" space_group="No. 166" magmom_total_mub_per_fu=0.0 raw_formation_energy_ev_per_atom=-2.04 pbc="T T T"
Pa 0.000 0.000 0.000
Cu 0.000 0.000 7.674
O 0.000 0.000 5.760
O 0.000 0.000 9.587



Entry 12:
5
Lattice="5.910 0.000 0.000 0.000 5.910 0.000 0.000 0.000 5.966" Properties=species:S:1:pos:R:3 comment="RbSb2TePt (GGA-PBE, relaxed)" space_group="No. 123" magmom_total_mub_per_fu=0.0 raw_formation_energy_ev_per_atom=1.90 polymorph_energy_mev_per_atom=1959 pbc="T T T"
Rb 0.000 0.000 0.000
Sb 0.000 2.955 0.000
Sb 2.955 0.000 0.000
Te 0.000 0.000 2.983
Pt 2.955 2.955 2.983